No. 1
VASP calculation (PBE-GGA) on a relaxed structure of Pr3Al4Zn4.

```
Pr3Al4Zn4
1.0
-3.9225 3.9225 3.9225
3.9225 -3.9225 3.9225
3.9225 3.9225 -3.9225
Pr Al Zn
3 4 4
direct
0.0000 0.5000 0.5000 Pr
0.5000 0.0000 0.5000 Pr
0.5000 0.5000 0.0000 Pr
0.0000 0.0000 0.2606 Al
0.0000 0.2606 0.0000 Al
0.2606 0.0000 0.0000 Al
0.7394 0.7394 0.7394 Al
0.0000 0.0000 0.6203 Zn
0.0000 0.6203 0.0000 Zn
0.3797 0.3797 0.3797 Zn
0.6203 0.0000 0.0000 Zn
```

Formation energy from the elements, eV per atom: -0.2784
Offset from the most stable computed form, eV/f.u.: 1.40
N(E_F), states/eV per cell: 3.36
Calculated density, Mg/m³: 5.4

No. 2
VASP calculation (PBE-GGA) on a relaxed structure of Pr6AlZn5.

```
Pr6AlZn5
1.0
2.6248 -7.9008 0.0000
2.6248 7.9008 0.0000
0.0000 0.0000 7.4627
Pr Al Zn
6 1 5
direct
0.0000 0.0000 0.2487 Pr
0.0000 0.0000 0.7513 Pr
0.3327 0.6673 0.2514 Pr
0.3327 0.6673 0.7486 Pr
0.6673 0.3327 0.2514 Pr
0.6673 0.3327 0.7486 Pr
0.5000 0.5000 0.5000 Al
0.1645 0.8355 0.5000 Zn
0.1666 0.8334 0.0000 Zn
0.5000 0.5000 0.0000 Zn
0.8334 0.1666 0.0000 Zn
0.8355 0.1645 0.5000 Zn
```

Formation energy from the elements, eV per atom: -0.3045
N(E_F), states/eV per cell: 13.53
Calculated density, Mg/m³: 6.4

No. 3
VASP calculation (PBE-GGA) on a relaxed structure of Pr3AlZn8.

```
Pr3AlZn8
1.0
2.8010 1.6171 8.8597
-2.8010 1.6171 8.8597
0.0000 -3.2343 8.8597
Pr Al Zn
3 1 8
direct
0.0000 0.0000 0.0000 Pr
0.1262 0.1262 0.1262 Pr
0.6125 0.6125 0.6125 Pr
0.4873 0.4873 0.4873 Al
0.0597 0.5616 0.5616 Zn
0.0606 0.0606 0.5574 Zn
0.0606 0.5574 0.0606 Zn
0.3119 0.3119 0.3119 Zn
0.5574 0.0606 0.0606 Zn
0.5616 0.0597 0.5616 Zn
0.5616 0.5616 0.0597 Zn
0.8089 0.8089 0.8089 Zn
```

Formation energy from the elements, eV per atom: -0.2234
N(E_F), states/eV per cell: 7.19
Calculated density, Mg/m³: 6.7

No. 4
VASP calculation (PBE-GGA) on a relaxed structure of PrAl3Zn2.

```
PrAl3Zn2
1.0
5.5873 0.0000 0.0000
-2.7936 4.8387 0.0000
0.0000 0.0000 4.2260
Pr Al Zn
1 3 2
direct
0.0000 0.0000 0.0000 Pr
0.0000 0.5000 0.5000 Al
0.5000 0.0000 0.5000 Al
0.5000 0.5000 0.5000 Al
0.3333 0.6667 0.0000 Zn
0.6667 0.3333 0.0000 Zn
```

Formation energy from the elements, eV per atom: -0.2870
Offset from the most stable computed form, eV/f.u.: 0.00
N(E_F), states/eV per cell: 3.16
Calculated density, Mg/m³: 5.1

No. 5
VASP calculation (PBE-GGA) on a relaxed structure of Pr4AlZn2.

```
Pr4AlZn2
1.0
2.6069 1.5051 8.3823
-2.6069 1.5051 8.3823
0.0000 -3.0102 8.3823
Pr Al Zn
4 1 2
direct
0.1183 0.1183 0.1183 Pr
0.3704 0.3704 0.3704 Pr
0.6296 0.6296 0.6296 Pr
0.8817 0.8817 0.8817 Pr
0.5000 0.5000 0.5000 Al
0.2447 0.2447 0.2447 Zn
0.7553 0.7553 0.7553 Zn
```

Formation energy from the elements, eV per atom: -0.1935
N(E_F), states/eV per cell: 7.65
Calculated density, Mg/m³: 6.1

No. 6
VASP calculation (PBE-GGA) on a relaxed structure of PrAl2Zn2.

```
PrAl2Zn2
1.0
4.2672 0.0000 0.0000
-2.1336 3.6955 0.0000
0.0000 0.0000 7.0712
Pr Al Zn
1 2 2
direct
0.0000 0.0000 0.0000 Pr
0.3333 0.6667 0.3688 Al
0.6667 0.3333 0.6312 Al
0.3333 0.6667 0.7332 Zn
0.6667 0.3333 0.2668 Zn
```

Formation energy from the elements, eV per atom: -0.1158
N(E_F), states/eV per cell: 3.70
Calculated density, Mg/m³: 4.8

No. 7
VASP calculation (PBE-GGA) on a relaxed structure of Pr8AlZn2.

```
Pr8AlZn2
1.0
9.0180 -2.5754 0.0000
9.0180 2.5754 0.0000
-2.9508 0.0000 7.2070
Pr Al Zn
8 1 2
direct
0.0326 0.0326 0.2717 Pr
0.1896 0.1896 0.7901 Pr
0.3259 0.3259 0.5307 Pr
0.4091 0.4091 0.0421 Pr
0.5909 0.5909 0.9579 Pr
0.6741 0.6741 0.4693 Pr
0.8104 0.8104 0.2099 Pr
0.9674 0.9674 0.7283 Pr
0.5000 0.5000 0.5000 Al
0.1838 0.1838 0.1740 Zn
0.8162 0.8162 0.8260 Zn
```

Formation energy from the elements, eV per atom: -0.1305
Offset from the most stable computed form, eV/f.u.: 0.00
N(E_F), states/eV per cell: 10.78
Calculated density, Mg/m³: 6.4

No. 8
VASP calculation (PBE-GGA) on a relaxed structure of PrAlZn2.

```
PrAlZn2
1.0
2.6528 -4.6159 0.0000
2.6528 4.6159 0.0000
0.0000 0.0000 3.7082
Pr Al Zn
1 1 2
direct
0.0000 0.0000 0.0000 Pr
0.5000 0.5000 0.5000 Al
0.0000 0.5000 0.5000 Zn
0.5000 0.0000 0.5000 Zn
```

Formation energy from the elements, eV per atom: -0.1535
N(E_F), states/eV per cell: 2.26
Calculated density, Mg/m³: 5.5